# 1
Density functional theory data (PBE) for DyErTh after structural relaxation. Values from VASP.

Quantum ESPRESSO input file:
```
&SYSTEM
  ibrav = 0, nat = 6, ntyp = 3
/
ATOMIC_SPECIES
Dy 162.50 Dy.upf
Er 167.26 Er.upf
Th 232.04 Th.upf
CELL_PARAMETERS angstrom
3.092 -1.784 0.000
3.092 1.784 0.000
-2.044 0.000 17.181
ATOMIC_POSITIONS angstrom
Dy 1.033 0.000 1.417
Dy 3.107 0.000 15.764
Er -1.019 0.000 12.888
Er 5.159 0.000 4.292
Th 1.040 0.000 10.014
Th 3.100 0.000 7.166
```

Final energy: -16.53 eV per formula unit
Total magnetic moment: 0.00 μB per atom
Energy relative to the elements: 0.019 eV/atom
Energy above the lowest structure with this stoichiometry: 0 meV per atom
SG: No. 12

---

# 2
Density functional theory data (PBE) for Dy7Er3Th2 after structural relaxation. Values from VASP.

Quantum ESPRESSO input file:
```
&SYSTEM
  ibrav = 0, nat = 12, ntyp = 3
/
ATOMIC_SPECIES
Dy 162.50 Dy.upf
Er 167.26 Er.upf
Th 232.04 Th.upf
CELL_PARAMETERS angstrom
3.622 0.000 0.000
0.000 5.551 0.000
-1.830 0.000 20.443
ATOMIC_POSITIONS angstrom
Dy 0.000 0.000 0.000
Dy 0.001 2.776 2.681
Dy -0.009 2.776 11.680
Dy -0.020 0.000 16.992
Dy 1.812 0.000 3.451
Dy 1.802 2.776 8.763
Dy 1.791 2.776 17.762
Er -0.003 0.000 6.932
Er 1.811 2.776 0.000
Er 1.796 0.000 13.511
Th -0.017 2.776 14.813
Th 1.810 2.776 5.630
```

Final energy: -57.38 eV per formula unit
Total magnetic moment: 0.00 μB per atom
Energy relative to the elements: 0.280 eV/atom
SG: No. 10

---

# 3
Density functional theory data (PBE) for Dy8ErTh2 after structural relaxation. Values from VASP.

Quantum ESPRESSO input file:
```
&SYSTEM
  ibrav = 0, nat = 11, ntyp = 3
/
ATOMIC_SPECIES
Dy 162.50 Dy.upf
Er 167.26 Er.upf
Th 232.04 Th.upf
CELL_PARAMETERS angstrom
6.172 0.000 0.000
-1.032 7.846 0.000
-2.032 -2.671 7.184
ATOMIC_POSITIONS angstrom
Dy -0.503 2.670 1.302
Dy -0.512 0.305 3.915
Dy 0.522 6.079 1.921
Dy 0.526 3.662 4.616
Dy 2.582 1.513 2.568
Dy 2.585 -0.905 5.263
Dy 3.619 4.869 3.268
Dy 3.610 2.504 5.882
Er 2.570 3.923 0.000
Th -0.490 -2.084 6.557
Th 3.597 7.258 0.627
```

Final energy: -55.94 eV per formula unit
Total magnetic moment: 0.00 μB per atom
Energy relative to the elements: 0.026 eV/atom
Energy above the lowest structure with this stoichiometry: 0 meV per atom
SG: No. 2